A plane-wave DFT calculation with PBEsol was carried out for an optimized crystal structure of In5Br.

Energy in eV/atom: -2.9116
Formation energy from raw total energies in kJ/mol of formula units: -66.1
M_tot in μB/f.u.: 0.000

Cell lengths 3.3956, 5.4333, 8.5863 Å; angles 90.00, 101.40, 90.00 degrees
Positions (direct):
Br1 0.9725 0.0000 0.9450
In1 0.3070 0.0000 0.6140
In2 0.6385 0.0000 0.2771
In3 0.4718 0.5000 0.9436
In4 0.8041 0.5000 0.6083
In5 0.1393 0.5000 0.2786